# Cu3TeS3F (PBE-GGA, optimized geometry)
# Energy (eV per atom): -3.97
# Crystal system: trigonal
data_Cu3TeS3F
_chemical_formula_sum 'Cu9 Te3 S9 F3'
_cell_length_a 7.2422
_cell_length_b 7.2422
_cell_length_c 9.9475
_cell_angle_alpha 90.00
_cell_angle_beta 90.00
_cell_angle_gamma 120.00
_symmetry_space_group_name_H-M 'R 3 m'
_symmetry_Int_Tables_number 160
_symmetry_space_group_name_Hall 'R 3 -2"'
loop_
_atom_site_label
_atom_site_fract_x
_atom_site_fract_y
_atom_site_fract_z
Cu1 0.0174 0.5087 0.0000
Te1 0.0000 0.0000 0.9924
S1 0.1716 0.3432 0.1048
F1 0.0000 0.0000 0.6886